Density functional theory data (GGA-PBE) for crystalline CsThIrO6 at its relaxed geometry.

Lattice parameters (Å, degrees): 7.582 7.842 10.254 90.00 90.00 90.00
Space group Imma (No. 74)
Symmetry-distinct sites (fractional):
1 Cs 0.000 0.250 0.101 x4
2 Th 0.000 0.000 0.500 x4
3 Ir 0.250 0.250 0.750 x4
4 O 0.000 0.250 0.401 x4
5 O 0.000 0.250 0.682 x4
6 O 0.225 0.080 0.878 x16

* E_form (uncorrected): -1.75 eV per atom

Density functional theory data (GGA-PBE) for crystalline Ac4B3AsRh12 at its relaxed geometry.

Lattice parameters (Å, degrees): 8.858 8.858 8.858 90.00 90.00 90.00
Space group Im-3m (No. 229)
Symmetry-distinct sites (fractional):
1 Ac 0.250 0.250 0.250 x8
2 B 0.000 0.000 0.500 x6
3 As 0.000 0.000 0.000 x2
4 Rh 0.000 0.000 0.270 x12
5 Rh 0.000 0.250 0.500 x12

* total DFT energy (no corrections): -7.083 eV per atom

Density functional theory data (GGA-PBE) for crystalline La4Ce3NdS8 at its relaxed geometry.

Lattice parameters (Å, degrees): 8.1865 8.1865 20.1079 90.00 90.00 120.00
Space group R-3m (No. 166, hexagonal axes)
Symmetry-distinct sites (fractional):
1 La 0.0000 0.0000 0.0000 x3
2 La 0.0000 0.5000 0.0000 x9
3 Ce 0.0000 0.5000 0.5000 x9
4 Nd 0.0000 0.0000 0.5000 x3
5 S 0.0000 0.0000 0.2472 x6
6 S 0.0015 0.5008 0.7526 x18

* E_form (uncorrected): -2.10 eV per atom

Density functional theory data (GGA-PBE) for crystalline TaRe2Hg at its relaxed geometry.

Lattice parameters (Å, degrees): 9.419 3.018 4.930 90.00 103.55 90.00
Space group C2/m (No. 12)
Symmetry-distinct sites (fractional):
1 Ta 0.000 0.000 0.000 x2
2 Re 0.238 0.500 0.229 x4
3 Hg 0.000 0.500 0.500 x2

* total DFT energy (no corrections): -8.828 eV per atom

Density functional theory data (GGA-PBE) for crystalline TlTc2Sn2 at its relaxed geometry.

Lattice parameters (Å, degrees): 7.556 7.556 3.419 90.00 90.00 90.00
Space group P4/mbm (No. 127)
Symmetry-distinct sites (fractional):
1 Tl 0.000 0.000 0.000 x2
2 Tc 0.147 0.353 0.000 x4
3 Sn 0.148 0.648 0.500 x4

* distance to the lowest polymorph of the same formula: 0 meV per atom

Density functional theory data (GGA-PBE) for crystalline CuSi3 at its relaxed geometry.

Lattice parameters (Å, degrees): 2.6225 2.6225 28.4073 90.00 90.00 120.00
Space group R-3m (No. 166, hexagonal axes)
Symmetry-distinct sites (fractional):
1 Cu 0.0000 0.0000 0.0000 x3
2 Si 0.0000 0.0000 0.2591 x6
3 Si 0.0000 0.0000 0.5000 x3

* E_form (uncorrected): 0.32 eV per atom

Density functional theory data (GGA-PBE) for crystalline CeGdTcRh at its relaxed geometry.

Lattice parameters (Å, degrees): 6.919 6.919 6.919 90.00 90.00 90.00
Space group F-43m (No. 216)
Symmetry-distinct sites (fractional):
1 Ce 0.000 0.000 0.000 x4
2 Gd 0.000 0.000 0.500 x4
3 Tc 0.250 0.250 0.250 x4
4 Rh 0.250 0.250 0.750 x4

* total DFT energy (no corrections): -9.757 eV per atom

Density functional theory data (GGA-PBE) for crystalline DyRe4 at its relaxed geometry.

Lattice parameters (Å, degrees): 4.693 4.693 4.693 90.00 90.00 90.00
Space group Pm-3m (No. 221)
Symmetry-distinct sites (fractional):
1 Dy 0.000 0.000 0.000 x1
2 Re 0.000 0.000 0.500 x3
3 Re 0.500 0.500 0.500 x1

* total DFT energy (no corrections): -7.476 eV per atom

no.,DOS at the Fermi energy (states/eV/f.u.),ρ (g/cm3),volume (A^3/atom)
1,1.98,7.1,16.936
2,16.34,10.8,17.378
3,19.12,5.9,24.314
4,2.99,18.4,17.031
5,2.79,10.9,19.522
6,1.24,4.4,14.099
7,3.01,10.0,20.700
8,6.26,14.6,20.671